# Dy5ThRu6

An optimized crystal structure of Dy5ThRu6 (GGA-PBE, Alexandria).

As for the total energy: -7.56 eV per atom. The energy relative to the elements is -389 meV/atom. The value obtained for the total magnetization is 0.00 μB per atom. As for the mass density: 11.40 g cm⁻³. As for the symmetry: P2/m, No. 10.

Geometry as POSCAR:
```
Dy5ThRu6
1.0
4.599 -0.028 1.540
0.037 6.860 0.012
0.023 -0.014 7.632
Ru Th Dy
6 1 5
Direct
0.837 0.754 0.326
0.837 0.246 0.326
0.500 0.243 0.000
0.500 0.757 0.000
0.163 0.754 0.674
0.163 0.246 0.674
0.000 0.000 0.000
0.667 0.500 0.666
0.329 0.000 0.342
0.000 0.500 0.000
0.671 0.000 0.658
0.333 0.500 0.334
```